# Ca3CrI, single point on PBEsol structure, DFT SCAN
# Total moment (μB per formula unit): 6.0
# Formation energy without anion corrections (eV/atom): 0.233
# Crystal system: cubic
data_Ca3CrI
_chemical_formula_sum 'Ca3 Cr1 I1'
_cell_length_a 5.780
_cell_length_b 5.780
_cell_length_c 5.780
_cell_angle_alpha 90.00
_cell_angle_beta 90.00
_cell_angle_gamma 90.00
_space_group_name_H-M_alt 'P m -3 m'
_space_group_IT_number 221
_space_group_name_Hall '-P 4 2 3'
loop_
_atom_site_label
_atom_site_type_symbol
_atom_site_fract_x
_atom_site_fract_y
_atom_site_fract_z
Ca1 Ca 0.000 0.000 0.500
Cr1 Cr 0.500 0.500 0.500
I1 I 0.000 0.000 0.000